[1]
This record from the Open Quantum Materials Database describes MgCuPb after structural relaxation. The functional is PBE. Values from VASP.

Structure (Quantum ESPRESSO input):
```
&SYSTEM
  ibrav = 0, nat = 6, ntyp = 3
/
ATOMIC_SPECIES
Mg 24.30 Mg.upf
Cu 63.55 Cu.upf
Pb 207.20 Pb.upf
CELL_PARAMETERS angstrom
4.509 0.000 0.000
-2.255 3.905 0.000
0.000 0.000 7.214
ATOMIC_POSITIONS crystal
Mg 0.000 0.000 0.000
Mg 0.000 0.000 0.500
Cu 0.333 0.667 0.352
Cu 0.667 0.333 0.852
Pb 0.333 0.667 0.738
Pb 0.667 0.333 0.238
```

## Properties
The crystal system is hexagonal. As for the final energy: -2.932 eV/atom. For the theoretical density, the calculation gives 7.71 g/cm3.


[2]
This record from the Open Quantum Materials Database describes ScFePdPb after structural relaxation. The functional is PBE. Values from VASP.

Structure (Quantum ESPRESSO input):
```
&SYSTEM
  ibrav = 0, nat = 4, ntyp = 4
/
ATOMIC_SPECIES
Sc 44.96 Sc.upf
Fe 55.84 Fe.upf
Pd 106.42 Pd.upf
Pb 207.20 Pb.upf
CELL_PARAMETERS angstrom
0.000 3.285 3.285
3.285 0.000 3.285
3.285 3.285 0.000
ATOMIC_POSITIONS crystal
Sc 0.000 0.000 0.000
Fe 0.750 0.750 0.750
Pd 0.250 0.250 0.250
Pb 0.500 0.500 0.500
```

## Properties
The crystal system is cubic. As for the final energy: -6.097 eV/atom. For the theoretical density, the calculation gives 9.70 g/cm3.


[3]
This record from the Open Quantum Materials Database describes Cu2Ag3 after structural relaxation. The functional is PBE. Values from VASP.

Structure (Quantum ESPRESSO input):
```
&SYSTEM
  ibrav = 0, nat = 10, ntyp = 2
/
ATOMIC_SPECIES
Cu 63.55 Cu.upf
Ag 107.87 Ag.upf
CELL_PARAMETERS angstrom
7.431 -1.418 0.000
7.431 1.418 0.000
-1.997 0.000 7.394
ATOMIC_POSITIONS crystal
Cu 0.000 0.000 0.000
Cu 0.000 0.000 0.500
Cu 0.205 0.205 0.092
Cu 0.795 0.795 0.908
Ag 0.200 0.200 0.609
Ag 0.400 0.400 0.713
Ag 0.403 0.403 0.187
Ag 0.597 0.597 0.813
Ag 0.600 0.600 0.287
Ag 0.800 0.800 0.391
```

## Properties
For the formation energy, the calculation gives 0.09 eV/atom. The crystal system is monoclinic. For the theoretical density, the calculation gives 9.60 g/cm3.


[4]
This record from the Open Quantum Materials Database describes SrNp after structural relaxation. The functional is PBE. Values from VASP.

Structure (Quantum ESPRESSO input):
```
&SYSTEM
  ibrav = 0, nat = 2, ntyp = 2
/
ATOMIC_SPECIES
Sr 87.62 Sr.upf
Np 237.00 Np.upf
CELL_PARAMETERS angstrom
0.000 3.638 3.638
3.638 0.000 3.638
3.638 3.638 0.000
ATOMIC_POSITIONS crystal
Sr 0.000 0.000 0.000
Np 0.250 0.250 0.250
```

## Properties
The crystal system is cubic. As for the final energy: -4.721 eV/atom. For the theoretical density, the calculation gives 5.60 g/cm3.


[5]
This record from the Open Quantum Materials Database describes TaCu2 after structural relaxation. The functional is PBE. Values from VASP.

Structure (Quantum ESPRESSO input):
```
&SYSTEM
  ibrav = 0, nat = 6, ntyp = 2
/
ATOMIC_SPECIES
Ta 180.95 Ta.upf
Cu 63.55 Cu.upf
CELL_PARAMETERS angstrom
0.000 3.460 3.460
3.460 0.000 3.460
3.460 3.460 0.000
ATOMIC_POSITIONS crystal
Ta 0.125 0.125 0.125
Ta 0.875 0.875 0.875
Cu 0.000 0.500 0.500
Cu 0.500 0.000 0.500
Cu 0.500 0.500 0.000
Cu 0.500 0.500 0.500
```

## Properties
For the formation energy, the calculation gives 0.14 eV/atom. The crystal system is cubic. For the theoretical density, the calculation gives 12.35 g/cm3.


[6]
This record from the Open Quantum Materials Database describes Hf4SiSN2 after structural relaxation. The functional is PBE. Values from VASP.

Structure (Quantum ESPRESSO input):
```
&SYSTEM
  ibrav = 0, nat = 8, ntyp = 4
/
ATOMIC_SPECIES
Hf 178.49 Hf.upf
Si 28.09 Si.upf
S 32.06 S.upf
N 14.01 N.upf
CELL_PARAMETERS angstrom
3.276 0.000 0.000
-1.638 2.837 0.000
0.000 0.000 12.562
ATOMIC_POSITIONS crystal
Hf 0.000 0.000 0.145
Hf 0.000 0.000 0.855
Hf 0.333 0.667 0.341
Hf 0.333 0.667 0.659
Si 0.000 0.000 0.500
S 0.333 0.667 0.000
N 0.667 0.333 0.243
N 0.667 0.333 0.757
```

## Properties
The crystal system is hexagonal. As for the final energy: -9.571 eV/atom. For the theoretical density, the calculation gives 11.41 g/cm3.


[7]
This record from the Open Quantum Materials Database describes Li3Ta3Te2O12 after structural relaxation. The functional is PBE. Values from VASP.

Structure (Quantum ESPRESSO input):
```
&SYSTEM
  ibrav = 0, nat = 80, ntyp = 4
/
ATOMIC_SPECIES
Li 6.94 Li.upf
Ta 180.95 Ta.upf
Te 127.60 Te.upf
O 16.00 O.upf
CELL_PARAMETERS angstrom
-5.995 5.995 5.995
5.995 -5.995 5.995
5.995 5.995 -5.995
ATOMIC_POSITIONS crystal
Li 0.125 0.750 0.875
Li 0.125 0.875 0.250
Li 0.250 0.125 0.875
Li 0.250 0.625 0.375
Li 0.375 0.250 0.625
Li 0.375 0.625 0.750
Li 0.625 0.375 0.250
Li 0.625 0.750 0.375
Li 0.750 0.375 0.625
Li 0.750 0.875 0.125
Li 0.875 0.125 0.750
Li 0.875 0.250 0.125
Ta 0.125 0.250 0.375
Ta 0.125 0.375 0.750
Ta 0.250 0.375 0.125
Ta 0.250 0.875 0.625
Ta 0.375 0.125 0.250
Ta 0.375 0.750 0.125
Ta 0.625 0.250 0.875
Ta 0.625 0.875 0.750
Ta 0.750 0.125 0.375
Ta 0.750 0.625 0.875
Ta 0.875 0.625 0.250
Ta 0.875 0.750 0.625
Te 0.000 0.000 0.000
Te 0.000 0.000 0.500
Te 0.000 0.500 0.000
Te 0.000 0.500 0.500
Te 0.500 0.000 0.000
Te 0.500 0.000 0.500
Te 0.500 0.500 0.000
Te 0.500 0.500 0.500
O 0.050 0.233 0.137
O 0.050 0.317 0.913
O 0.087 0.637 0.405
O 0.087 0.950 0.683
O 0.095 0.733 0.683
O 0.095 0.863 0.413
O 0.137 0.050 0.233
O 0.137 0.587 0.905
O 0.183 0.233 0.595
O 0.183 0.450 0.587
O 0.233 0.137 0.050
O 0.233 0.595 0.183
O 0.267 0.317 0.905
O 0.267 0.450 0.363
O 0.317 0.905 0.267
O 0.317 0.913 0.050
O 0.363 0.267 0.450
O 0.363 0.595 0.913
O 0.405 0.087 0.637
O 0.405 0.817 0.767
O 0.413 0.095 0.863
O 0.413 0.817 0.550
O 0.450 0.363 0.267
O 0.450 0.587 0.183
O 0.550 0.413 0.817
O 0.550 0.637 0.733
O 0.587 0.183 0.450
O 0.587 0.905 0.137
O 0.595 0.183 0.233
O 0.595 0.913 0.363
O 0.637 0.405 0.087
O 0.637 0.733 0.550
O 0.683 0.087 0.950
O 0.683 0.095 0.733
O 0.733 0.550 0.637
O 0.733 0.683 0.095
O 0.767 0.405 0.817
O 0.767 0.863 0.950
O 0.817 0.550 0.413
O 0.817 0.767 0.405
O 0.863 0.413 0.095
O 0.863 0.950 0.767
O 0.905 0.137 0.587
O 0.905 0.267 0.317
O 0.913 0.050 0.317
O 0.913 0.363 0.595
O 0.950 0.683 0.087
O 0.950 0.767 0.863
```

## Properties
The crystal system is cubic. As for the final energy: -7.094 eV/atom. For the theoretical density, the calculation gives 7.79 g/cm3.


[8]
This record from the Open Quantum Materials Database describes Ba2OsPdS6 after structural relaxation. The functional is PBE. Values from VASP.

Structure (Quantum ESPRESSO input):
```
&SYSTEM
  ibrav = 0, nat = 10, ntyp = 4
/
ATOMIC_SPECIES
Ba 137.33 Ba.upf
Os 190.23 Os.upf
Pd 106.42 Pd.upf
S 32.06 S.upf
CELL_PARAMETERS angstrom
0.000 4.837 4.837
4.837 0.000 4.837
4.837 4.837 0.000
ATOMIC_POSITIONS crystal
Ba 0.250 0.250 0.250
Ba 0.750 0.750 0.750
Os 0.000 0.000 0.000
Pd 0.500 0.500 0.500
S 0.246 0.246 0.754
S 0.246 0.754 0.246
S 0.246 0.754 0.754
S 0.754 0.246 0.246
S 0.754 0.246 0.754
S 0.754 0.754 0.246
```

## Properties
The crystal system is cubic. As for the final energy: -5.190 eV/atom. For the theoretical density, the calculation gives 5.60 g/cm3.


[9]
This record from the Open Quantum Materials Database describes ThZr2Ni9 after structural relaxation. The functional is PBE. Values from VASP.

Structure (Quantum ESPRESSO input):
```
&SYSTEM
  ibrav = 0, nat = 12, ntyp = 3
/
ATOMIC_SPECIES
Th 232.04 Th.upf
Zr 91.22 Zr.upf
Ni 58.69 Ni.upf
CELL_PARAMETERS angstrom
2.455 1.418 7.998
-2.455 1.418 7.998
0.000 -2.835 7.998
ATOMIC_POSITIONS crystal
Th 0.000 0.000 0.000
Zr 0.140 0.140 0.140
Zr 0.860 0.860 0.860
Ni 0.082 0.588 0.588
Ni 0.334 0.334 0.334
Ni 0.412 0.412 0.918
Ni 0.412 0.918 0.412
Ni 0.500 0.500 0.500
Ni 0.588 0.082 0.588
Ni 0.588 0.588 0.082
Ni 0.666 0.666 0.666
Ni 0.918 0.412 0.412
```

## Properties
For the formation energy, the calculation gives -0.46 eV/atom. The crystal system is trigonal. For the theoretical density, the calculation gives 9.37 g/cm3.


[10]
This record from the Open Quantum Materials Database describes UAlB after structural relaxation. The functional is PBE. Values from VASP.

Structure (Quantum ESPRESSO input):
```
&SYSTEM
  ibrav = 0, nat = 3, ntyp = 3
/
ATOMIC_SPECIES
U 238.03 U.upf
Al 26.98 Al.upf
B 10.81 B.upf
CELL_PARAMETERS angstrom
0.000 2.926 2.926
2.926 0.000 2.926
2.926 2.926 0.000
ATOMIC_POSITIONS crystal
U 0.000 0.000 0.000
Al 0.500 0.500 0.500
B 0.750 0.750 0.750
```

## Properties
The crystal system is cubic. As for the final energy: -6.986 eV/atom. For the theoretical density, the calculation gives 9.14 g/cm3.


What did the tenth record say?
This record from the Open Quantum Materials Database describes UAlB after structural relaxation. The functional is PBE. Values from VASP.

Structure (Quantum ESPRESSO input):
```
&SYSTEM
  ibrav = 0, nat = 3, ntyp = 3
/
ATOMIC_SPECIES
U 238.03 U.upf
Al 26.98 Al.upf
B 10.81 B.upf
CELL_PARAMETERS angstrom
0.000 2.926 2.926
2.926 0.000 2.926
2.926 2.926 0.000
ATOMIC_POSITIONS crystal
U 0.000 0.000 0.000
Al 0.500 0.500 0.500
B 0.750 0.750 0.750
```

## Properties
The crystal system is cubic. As for the final energy: -6.986 eV/atom. For the theoretical density, the calculation gives 9.14 g/cm3.


Which formula does entry 4 have?
SrNp